# Ca2EuCu

A relaxed Ca2EuCu crystal (GGA-PBE, Alexandria).

Unit cell a=3.6585 b=3.6585 c=9.6117 alpha=90.00 beta=90.00 gamma=90.00
Closest atoms and distances in Å follow each position.
Positions (direct):
Eu1 0.5000 0.5000 0.5000  4 Eu 3.66, 8 Ca 4.03
Cu1 0.5000 0.5000 0.0000  8 Ca 3.11
Ca1 0.0000 0.0000 0.1787  4 Cu 3.11, 1 Ca 3.44
Ca2 0.0000 0.0000 0.8213  4 Cu 3.11, 1 Ca 3.44

Energy above the lowest structure with this stoichiometry (meV/atom): 0
Calculated volume (Å³/atom): 32.16
Energy of formation from the pure elements (eV/atom): -0.009
Fermi-level density of states (states/eV per atom): 0.936
Space group: P4/mmm, No. 123